Here is LaCo2F after structural relaxation from the Alexandria database. Energies are from GGA+U.

The density of states at the Fermi level is 2.10 states/eV/atom. Its energy above the most stable polymorph in this dataset is 648.5 meV per atom. The crystal system is cubic. The total moment comes out at 4.00 μB/f.u.

Cell and atoms, written as POSCAR:
```
LaCo2F
1.0
0.0000 3.4107 3.4107
3.4107 0.0000 3.4107
3.4107 3.4107 0.0000
La Co F
1 2 1
Direct
0.0000 0.0000 0.0000
0.2500 0.2500 0.2500
0.7500 0.7500 0.7500
0.5000 0.5000 0.5000
```